# LaZn4Au, relaxed, DFT GGA-PBEsol
# M_tot: 0.00 μB/f.u.
# Density of states at the Fermi level: 12.3 states/eV/cell
# Energy: -2.823 eV per atom
# DFT formation energy: -223 meV per atom
data_LaZn4Au
_chemical_formula_sum 'La4 Zn16 Au4'
_space_group_name_H-M_alt 'F -4 3 m'
_space_group_IT_number 216
_space_group_name_Hall 'F -4 2 3'
_cell_length_a 7.549
_cell_length_b 7.549
_cell_length_c 7.549
_cell_angle_alpha 90.00
_cell_angle_beta 90.00
_cell_angle_gamma 90.00
loop_
_atom_site_label
_atom_site_type_symbol
_atom_site_fract_x
_atom_site_fract_y
_atom_site_fract_z
La1 La 0.000 0.000 0.000
Zn1 Zn 0.124 0.124 0.376
Au1 Au 0.250 0.250 0.750

***

# FeCo, relaxed, DFT GGA-PBEsol
# M_tot: 4.44 μB/f.u.
# Density of states at the Fermi level: 1.3 states/eV/cell
# Energy: -8.360 eV per atom
# DFT formation energy: -10 meV per atom
data_FeCo
_chemical_formula_sum 'Fe1 Co1'
_space_group_name_H-M_alt 'P m -3 m'
_space_group_IT_number 221
_space_group_name_Hall '-P 4 2 3'
_cell_length_a 2.796
_cell_length_b 2.796
_cell_length_c 2.796
_cell_angle_alpha 90.00
_cell_angle_beta 90.00
_cell_angle_gamma 90.00
loop_
_atom_site_label
_atom_site_type_symbol
_atom_site_fract_x
_atom_site_fract_y
_atom_site_fract_z
Fe1 Fe 0.000 0.000 0.000
Co1 Co 0.500 0.500 0.500

***

# TcMo, relaxed, DFT GGA-PBEsol
# M_tot: 0.00 μB/f.u.
# Density of states at the Fermi level: 6.6 states/eV/cell
# E above lowest polymorph: 0.0000 eV/atom
# Energy: -11.430 eV per atom
# DFT formation energy: 87 meV per atom
data_TcMo
_chemical_formula_sum 'Tc4 Mo4'
_space_group_name_H-M_alt 'I m m a'
_space_group_IT_number 74
_space_group_name_Hall '-I 2b 2'
_cell_length_a 3.096
_cell_length_b 4.353
_cell_length_c 8.724
_cell_angle_alpha 90.00
_cell_angle_beta 90.00
_cell_angle_gamma 90.00
loop_
_atom_site_label
_atom_site_type_symbol
_atom_site_fract_x
_atom_site_fract_y
_atom_site_fract_z
Tc1 Tc 0.000 0.250 0.118
Mo1 Mo 0.000 0.250 0.631

***

# Ni6OsPt, relaxed, DFT GGA-PBEsol
# M_tot: 0.01 μB/f.u.
# Density of states at the Fermi level: 101.6 states/eV/cell
# Energy: -6.970 eV per atom
# DFT formation energy: 46 meV per atom
data_Ni6OsPt
_chemical_formula_sum 'Ni48 Os8 Pt8'
_space_group_name_H-M_alt 'C m m m'
_space_group_IT_number 65
_space_group_name_Hall '-C 2 2'
_cell_length_a 7.153
_cell_length_b 10.100
_cell_length_c 10.113
_cell_angle_alpha 90.00
_cell_angle_beta 90.00
_cell_angle_gamma 90.00
loop_
_atom_site_label
_atom_site_type_symbol
_atom_site_fract_x
_atom_site_fract_y
_atom_site_fract_z
Ni1 Ni 0.000 0.000 0.000
Ni2 Ni 0.000 0.000 0.500
Ni3 Ni 0.000 0.247 0.245
Ni4 Ni 0.000 0.500 0.000
Ni5 Ni 0.000 0.500 0.500
Ni6 Ni 0.246 0.124 0.373
Ni7 Ni 0.246 0.126 0.123
Os1 Os 0.000 0.000 0.254
Os2 Os 0.000 0.250 0.000
Pt1 Pt 0.000 0.253 0.500
Pt2 Pt 0.000 0.500 0.250

***

# SrYCoGe2, relaxed, DFT GGA-PBEsol
# M_tot: 2.65 μB/f.u.
# Density of states at the Fermi level: 8.8 states/eV/cell
# Energy: -3.948 eV per atom
# DFT formation energy: 1307 meV per atom
data_SrYCoGe2
_chemical_formula_sum 'Sr1 Y1 Co1 Ge2'
_space_group_name_H-M_alt 'P 4/m m m'
_space_group_IT_number 123
_space_group_name_Hall '-P 4 2'
_cell_length_a 5.238
_cell_length_b 5.238
_cell_length_c 6.006
_cell_angle_alpha 90.00
_cell_angle_beta 90.00
_cell_angle_gamma 90.00
loop_
_atom_site_label
_atom_site_type_symbol
_atom_site_fract_x
_atom_site_fract_y
_atom_site_fract_z
Sr1 Sr 0.000 0.000 0.000
Y1 Y 0.000 0.000 0.500
Co1 Co 0.500 0.500 0.000
Ge1 Ge 0.000 0.500 0.500

***

# BeZnTe2, relaxed, DFT GGA-PBEsol
# M_tot: 0.00 μB/f.u.
# E above lowest polymorph: 0.1658 eV/atom
# Energy: -3.361 eV per atom
# Uncorrected formation energy: -202.3 meV per atom
data_BeZnTe2
_chemical_formula_sum 'Be1 Zn1 Te2'
_space_group_name_H-M_alt 'P -4 m 2'
_space_group_IT_number 115
_space_group_name_Hall 'P -4 -2'
_cell_length_a 4.048
_cell_length_b 4.048
_cell_length_c 6.180
_cell_angle_alpha 90.00
_cell_angle_beta 90.00
_cell_angle_gamma 90.00
loop_
_atom_site_label
_atom_site_type_symbol
_atom_site_fract_x
_atom_site_fract_y
_atom_site_fract_z
Be1 Be 0.000 0.000 0.000
Zn1 Zn 0.500 0.500 0.000
Te1 Te 0.000 0.500 0.738

***

# Li3FeP2O8, relaxed, DFT GGA-PBEsol
# M_tot: 5.00 μB/f.u.
# E above lowest polymorph: 0.0043 eV/atom
# Energy: -7.021 eV per atom
# Uncorrected formation energy: -2132.3 meV per atom
data_Li3FeP2O8
_chemical_formula_sum 'Li12 Fe4 P8 O32'
_space_group_name_H-M_alt 'P 1 21/c 1'
_space_group_IT_number 14
_space_group_name_Hall '-P 2ybc'
_cell_length_a 4.877
_cell_length_b 17.686
_cell_length_c 7.731
_cell_angle_alpha 90.00
_cell_angle_beta 125.98
_cell_angle_gamma 90.00
loop_
_atom_site_label
_atom_site_type_symbol
_atom_site_fract_x
_atom_site_fract_y
_atom_site_fract_z
Li1 Li 0.002 0.058 0.218
Li2 Li 0.282 0.116 0.997
Li3 Li 0.365 0.699 0.687
Fe1 Fe 0.175 0.627 0.984
P1 P 0.126 0.216 0.291
P2 P 0.482 0.535 0.767
O1 O 0.048 0.174 0.097
O2 O 0.158 0.699 0.178
O3 O 0.162 0.197 0.771
O4 O 0.174 0.560 0.769
O5 O 0.182 0.067 0.533
O6 O 0.426 0.565 0.564
O7 O 0.474 0.191 0.495
O8 O 0.485 0.053 0.275

***

# Na3MnO3, relaxed, DFT GGA-PBEsol
# M_tot: 4.00 μB/f.u.
# Density of states at the Fermi level: 1.0 states/eV/cell
# E above lowest polymorph: 0.0061 eV/atom
# Energy: -5.705 eV per atom
# Uncorrected formation energy: -1461.3 meV per atom
data_Na3MnO3
_chemical_formula_sum 'Na12 Mn4 O12'
_space_group_name_H-M_alt 'P 1 21/c 1'
_space_group_IT_number 14
_space_group_name_Hall '-P 2ybc'
_cell_length_a 5.736
_cell_length_b 12.330
_cell_length_c 6.239
_cell_angle_alpha 90.00
_cell_angle_beta 121.45
_cell_angle_gamma 90.00
loop_
_atom_site_label
_atom_site_type_symbol
_atom_site_fract_x
_atom_site_fract_y
_atom_site_fract_z
Na1 Na 0.032 0.015 0.254
Na2 Na 0.072 0.223 0.860
Na3 Na 0.448 0.100 0.788
Mn1 Mn 0.402 0.661 0.174
O1 O 0.034 0.630 0.992
O2 O 0.314 0.068 0.118
O3 O 0.438 0.737 0.929

***

Q: Which of these has the highest M_tot?
A: Li3FeP2O8

***

Q: Look up the M_tot of the seventh one.
A: 5.00 μB/f.u.